Entry 1:
This record from Alexandria describes crystalline Sc3TlBr at its relaxed geometry. The functional is GGA-PBE.

a = 4.984 Å, b = 4.984 Å, c = 4.984 Å
α = 90.00°, β = 90.00°, γ = 90.00°
Fractional coordinates of all 5 atoms:
Sc: 0.000 0.500 0.000
Sc: 0.000 0.000 0.500
Sc: 0.500 0.000 0.000
Tl: 0.500 0.500 0.500
Br: 0.000 0.000 0.000

The calculation puts the uncorrected formation energy at -133 meV per atom. The space group is Pm-3m. Its size of the total moment is 0.00 μB/f.u. The calculation puts the total energy at -4.739 eV per atom.

---

Entry 2:
This record from Alexandria describes crystalline BaSr4Si4 at its relaxed geometry. The functional is GGA-PBE.

a = 6.271 Å, b = 10.067 Å, c = 10.067 Å
α = 90.00°, β = 90.00°, γ = 90.00°
Fractional coordinates of all 18 atoms:
Ba: 0.000 0.000 0.000
Ba: 0.500 0.500 0.500
Sr: 0.367 0.335 0.900
Sr: 0.867 0.600 0.835
Sr: 0.367 0.665 0.100
Sr: 0.133 0.165 0.600
Sr: 0.633 0.900 0.665
Sr: 0.133 0.835 0.400
Sr: 0.867 0.400 0.165
Sr: 0.633 0.100 0.335
Si: 0.640 0.779 0.343
Si: 0.640 0.221 0.657
Si: 0.140 0.843 0.721
Si: 0.860 0.279 0.843
Si: 0.860 0.721 0.157
Si: 0.360 0.343 0.221
Si: 0.360 0.657 0.779
Si: 0.140 0.157 0.279

The calculation puts the uncorrected formation energy at -247 meV per atom. The space group is P4_2/n. Its size of the total moment is 0.00 μB/f.u. The calculation puts the total energy at -3.618 eV per atom.

---

Entry 3:
This record from Alexandria describes crystalline LiMg5Tl2 at its relaxed geometry. The functional is GGA-PBE.

a = 4.703 Å, b = 5.739 Å, c = 15.076 Å
α = 90.00°, β = 90.00°, γ = 114.19°
Fractional coordinates of all 16 atoms:
Li: 0.772 0.545 0.750
Li: 0.228 0.455 0.250
Mg: 0.941 0.883 0.904
Mg: 0.941 0.883 0.596
Mg: 0.367 0.735 0.454
Mg: 0.367 0.735 0.046
Mg: 0.507 0.013 0.250
Mg: 0.493 0.987 0.750
Mg: 0.633 0.265 0.546
Mg: 0.633 0.265 0.954
Mg: 0.059 0.117 0.096
Mg: 0.059 0.117 0.404
Tl: 0.761 0.522 0.359
Tl: 0.761 0.522 0.141
Tl: 0.239 0.478 0.641
Tl: 0.239 0.478 0.859

Its formation energy is -0.263 eV per formula unit. The space group is Cmcm. Its size of the total moment is 0.00 μB/f.u. The calculation puts the total energy at -1.860 eV per atom.